A relaxed Ti2GeAs crystal, computed with PBE.

Lattice parameters (Å, degrees): 5.791 5.791 11.625 90.00 90.00 90.00
Space group I-42d (No. 122)
Asymmetric unit:
Ti (0.250, 0.250, 0.125) (multiplicity 8)
Ge (0.000, 0.000, 0.000) (multiplicity 4)
As (0.000, 0.000, 0.500) (multiplicity 4)

Results
For the energy above the most stable polymorph in this dataset, the calculation gives 2.86 eV per formula unit. Its density of states at the Fermi level is 1.001 states/eV per atom. The value obtained for the total energy is -99.4 eV per cell. The energy of formation from the pure elements is 53 meV per atom.